i:
Density functional theory data (PBE) for a relaxed structure of RbPmSn4.

The structure in extended XYZ format:
```
6
Lattice="6.360 0.000 0.000 3.180 5.508 0.000 3.180 1.836 5.193" Properties=species:S:1:pos:R:3 pbc="T T T"
Sn 6.360 3.672 0.631
Sn 6.360 1.819 3.252
Sn 7.965 4.599 3.252
Sn 4.755 4.599 3.252
Pm 0.000 0.000 0.000
Rb 3.180 1.836 1.298
```

Calculated values
The value obtained for the size of the total moment is 0.000 μB/atom. Its space group is No. 216.

***

ii:
Density functional theory data (PBE) for a relaxed structure of RbPmSn4.

The structure in extended XYZ format:
```
6
Lattice="5.006 0.000 0.000 -2.503 4.336 0.000 0.000 0.000 9.760" Properties=species:S:1:pos:R:3 pbc="T T T"
Sn 2.503 1.445 2.056
Sn 0.000 2.890 7.704
Sn 0.000 2.890 2.056
Sn 2.503 1.445 7.704
Rb 0.000 0.000 4.880
Pm 0.000 0.000 0.000
```

Calculated values
The value obtained for the size of the total moment is 0.000 μB/atom. Its space group is No. 191. The density of states at the Fermi level comes out at 1.151 states/eV/atom.

***

Least stable of them? ii.

***

i:
Density functional theory data (PBE) for a relaxed structure of PmRe3.

The structure in extended XYZ format:
```
12
Lattice="-4.144 3.480 -0.136 0.963 -2.839 4.507 7.840 5.001 1.582" Properties=species:S:1:pos:R:3 pbc="T T T"
Re -0.728 3.308 0.643
Re -0.202 1.915 2.962
Re 1.790 0.155 3.013
Re 5.386 2.334 5.310
Re -2.330 1.340 1.498
Re 4.860 3.727 2.991
Re 6.989 4.302 4.456
Re 2.868 5.487 2.940
Re 4.401 1.081 3.045
Pm 0.000 0.000 0.000
Pm 2.336 2.761 1.295
Pm 2.323 2.881 4.658
```

Calculated values
The value obtained for the size of the total moment is 0.000 μB/atom. Its space group is No. 12. The density of states at the Fermi level comes out at 0.880 states/eV/atom.

***

ii:
Density functional theory data (PBE) for a relaxed structure of PmRe3.

The structure in extended XYZ format:
```
4
Lattice="2.957 0.000 0.000 0.000 4.206 0.000 0.000 0.000 6.187" Properties=species:S:1:pos:R:3 pbc="T T T"
Re 0.000 0.000 5.911
Re 1.478 2.103 5.043
Re 1.478 0.000 3.605
Pm 0.000 2.103 1.938
```

Calculated values
The value obtained for the size of the total moment is 0.000 μB/atom. Its space group is No. 25. The density of states at the Fermi level comes out at 1.059 states/eV/atom.

***

Least stable of them? ii.

***

i:
Density functional theory data (PBE) for a relaxed structure of PmReSb2.

The structure in extended XYZ format:
```
4
Lattice="-0.093 -2.724 2.410 -3.286 -2.408 -2.849 3.728 -2.250 -2.399" Properties=species:S:1:pos:R:3 pbc="T T T"
Sb 1.864 -1.125 -1.199
Sb -1.643 -1.204 -1.424
Pm -0.047 -1.362 1.205
Re 0.174 -3.691 -1.419
```

Calculated values
The value obtained for the size of the total moment is 0.000 μB/atom. Its space group is No. 123. The density of states at the Fermi level comes out at 1.080 states/eV/atom.

***

ii:
Density functional theory data (PBE) for a relaxed structure of PmReSb2.

The structure in extended XYZ format:
```
4
Lattice="-2.511 -1.903 0.631 0.477 -2.959 1.157 -1.082 2.227 10.601" Properties=species:S:1:pos:R:3 pbc="T T T"
Sb -2.134 -3.912 4.257
Sb -0.982 1.278 8.132
Re 0.000 0.000 0.000
Pm -1.558 -1.317 6.194
```

Calculated values
The value obtained for the size of the total moment is 0.000 μB/atom. Its space group is No. 166. The density of states at the Fermi level comes out at 1.110 states/eV/atom.

***

Least stable of them? ii.

***

i:
Density functional theory data (PBE) for a relaxed structure of PmRe3Si3.

The structure in extended XYZ format:
```
14
Lattice="-0.299 -6.595 -0.514 4.241 -0.586 5.052 -5.077 -0.102 4.250" Properties=species:S:1:pos:R:3 pbc="T T T"
Si 0.642 -0.490 5.914
Si 2.046 -1.942 2.397
Si -3.957 -3.374 2.931
Si -1.418 -3.323 0.805
Si 1.897 -5.239 2.140
Si -1.478 -0.197 3.388
Re 0.911 -3.444 1.006
Re -1.687 -0.369 5.713
Re 3.031 -3.737 3.532
Re 0.851 -0.318 3.588
Re -2.762 -4.997 1.740
Re -2.613 -1.700 1.997
Pm -0.567 -3.641 4.394
Pm 0.000 0.000 0.000
```

Calculated values
The value obtained for the size of the total moment is 0.032 μB/atom. Its space group is No. 223. The density of states at the Fermi level comes out at 1.062 states/eV/atom.

***

ii:
Density functional theory data (PBE) for a relaxed structure of PmRe3Si3.

The structure in extended XYZ format:
```
14
Lattice="-1.066 -2.537 -3.163 6.786 0.711 -2.857 -3.221 -6.821 6.555" Properties=species:S:1:pos:R:3 pbc="T T T"
Si -1.501 -5.949 3.887
Si 0.956 -6.382 3.407
Si 1.543 -2.264 -2.872
Si 4.000 -2.698 -3.352
Si 0.847 -3.436 1.081
Si 1.652 -5.211 -0.545
Re 2.390 -5.093 1.890
Re 5.741 -1.348 -2.242
Re -3.242 -7.298 2.778
Re 1.862 -7.881 1.525
Re 0.637 -0.766 -0.990
Re 0.110 -3.554 -1.355
Pm 3.353 -2.682 -0.368
Pm -0.854 -5.964 0.903
```

Calculated values
The value obtained for the size of the total moment is 0.000 μB/atom. Its space group is No. 11. The density of states at the Fermi level comes out at 0.619 states/eV/atom.

***

Least stable of them? i.